1.
Below is a relaxed SbPb2Cl8 crystal, with properties calculated at the PBE level.

The calculation puts the uncorrected formation energy at -0.878 eV per atom. Its space group is C2/m. The crystal system is monoclinic. The value obtained for the volume is 32.5 A^3/atom. The value obtained for the calculated total energy is -3.270 eV/atom. Its energy above the most stable polymorph in this dataset is 39 meV per atom. The theoretical density comes out at 3803 kg/m3. The total moment comes out at 0.0 μB/f.u.

Unit cell a=10.9380 b=10.9380 c=8.1085 alpha=94.66 beta=94.66 gamma=21.73
With the nearest neighbours (Å) after each atom.
Fractional positions:
Sb (0.0000, 0.0000, 0.0000)  6 Cl 2.49-2.66
Pb (0.3350, 0.3350, 0.6079)  5 Cl 2.76-3.01
Pb (0.6650, 0.6650, 0.3921)  5 Cl 2.76-3.01
Cl (0.0969, 0.0969, 0.5246)  2 Pb 2.79
Cl (0.1160, 0.1160, 0.0541)  1 Sb 2.49
Cl (0.2605, 0.2605, 0.3142)  3 Pb 2.76-3.01
Cl (0.4919, 0.4919, 0.2049)  2 Sb 2.66
Cl (0.5081, 0.5081, 0.7951)  2 Sb 2.66
Cl (0.7395, 0.7395, 0.6858)  3 Pb 2.76-3.01
Cl (0.8840, 0.8840, 0.9459)  1 Sb 2.49
Cl (0.9031, 0.9031, 0.4754)  2 Pb 2.79

***

2.
Below is a relaxed SbPbCl crystal, with properties calculated at the PBE level.

The calculation puts the uncorrected formation energy at -0.269 eV per atom. Its space group is I4mm. The crystal system is tetragonal. The value obtained for the volume is 31.6 A^3/atom. The value obtained for the calculated total energy is -3.495 eV/atom. Its energy above the most stable polymorph in this dataset is 0 meV per atom. The theoretical density comes out at 6386 kg/m3. The total moment comes out at 0.0 μB/f.u.

Unit cell a=8.2869 b=8.2869 c=8.2869 alpha=155.90 beta=155.90 gamma=34.34
With the nearest neighbours (Å) after each atom.
Fractional positions:
Sb (0.0000, 0.0000, 0.0000)  4 Sb 3.46, 4 Pb 3.52
Pb (0.3398, 0.3398, 0.0000)  4 Cl 3.02
Cl (0.7279, 0.7279, 0.0000)  4 Pb 3.02

***

3.
Below is a relaxed SbPb6Se3Cl2 crystal, with properties calculated at the PBE level.

The calculation puts the uncorrected formation energy at -0.506 eV per atom. Its space group is C2/m. The crystal system is monoclinic. The value obtained for the volume is 31.2 A^3/atom. The value obtained for the calculated total energy is -3.883 eV/atom. The theoretical density comes out at 7409 kg/m3. The total moment comes out at 0.0 μB/f.u.

Unit cell a=7.6053 b=7.6053 c=8.0265 alpha=99.37 beta=99.37 gamma=121.14
With the nearest neighbours (Å) after each atom.
Fractional positions:
Sb (0.0000, 0.0000, 0.0000)  6 Pb 3.12-3.16
Pb (0.0866, 0.4061, 0.2625)  3 Se 3.05-3.26, 1 Sb 3.12, 2 Cl 3.18-3.27
Pb (0.2402, 0.2402, 0.7418)  3 Se 3.01-3.17, 1 Sb 3.16, 2 Cl 3.27
Pb (0.4061, 0.0866, 0.2625)  3 Se 3.05-3.26, 1 Sb 3.12, 2 Cl 3.18-3.27
Pb (0.5939, 0.9134, 0.7375)  3 Se 3.05-3.26, 1 Sb 3.12, 2 Cl 3.18-3.27
Pb (0.7598, 0.7598, 0.2582)  3 Se 3.01-3.17, 1 Sb 3.16, 2 Cl 3.27
Pb (0.9134, 0.5939, 0.7375)  3 Se 3.05-3.26, 1 Sb 3.12, 2 Cl 3.18-3.27
Se (0.1581, 0.8419, 0.5000)  6 Pb 3.01-3.26
Se (0.5000, 0.5000, 0.5000)  6 Pb 3.05-3.17
Se (0.8419, 0.1581, 0.5000)  6 Pb 3.01-3.26
Cl (0.3265, 0.6735, 0.0000)  6 Pb 3.18-3.27
Cl (0.6735, 0.3265, 0.0000)  6 Pb 3.18-3.27

***

4.
Below is a relaxed SbPbSe2Cl crystal, with properties calculated at the PBE level.

The calculation puts the uncorrected formation energy at -0.529 eV per atom. Its space group is P2_1/m. The crystal system is monoclinic. The value obtained for the volume is 33.7 A^3/atom. The value obtained for the calculated total energy is -3.858 eV/atom. The theoretical density comes out at 5150 kg/m3. The total moment comes out at 0.0 μB/f.u.

Unit cell a=7.7573 b=4.1122 c=10.9359 alpha=90.00 beta=105.10 gamma=90.00
With the nearest neighbours (Å) after each atom.
Fractional positions:
Sb (0.1329, 0.2500, 0.1539)  4 Se 2.74-2.95, 2 Cl 3.06
Sb (0.8671, 0.7500, 0.8461)  4 Se 2.74-2.95, 2 Cl 3.06
Pb (0.2891, 0.2500, 0.5311)  3 Se 2.89-2.97, 1 Cl 3.23
Pb (0.7109, 0.7500, 0.4689)  3 Se 2.89-2.97, 1 Cl 3.23
Se (0.2297, 0.7500, 0.0194)  3 Sb 2.74-2.95
Se (0.4805, 0.2500, 0.3282)  1 Sb 2.87, 3 Pb 2.89-2.97
Se (0.5195, 0.7500, 0.6718)  1 Sb 2.87, 3 Pb 2.89-2.97
Se (0.7703, 0.2500, 0.9806)  3 Sb 2.74-2.95
Cl (0.0330, 0.7500, 0.3314)  2 Sb 3.06, 3 Pb 3.23-3.27
Cl (0.9670, 0.2500, 0.6686)  2 Sb 3.06, 3 Pb 3.23-3.27

***

5.
Below is a relaxed SnSbPbCl crystal, with properties calculated at the PBE level.

The calculation puts the uncorrected formation energy at -0.284 eV per atom. Its space group is F-43m. The crystal system is cubic. The value obtained for the volume is 27.4 A^3/atom. The value obtained for the calculated total energy is -3.704 eV/atom. The theoretical density comes out at 7307 kg/m3. The total moment comes out at 0.0 μB/f.u.

Unit cell a=5.3748 b=5.3748 c=5.3748 alpha=60.00 beta=60.00 gamma=60.00
With the nearest neighbours (Å) after each atom.
Fractional positions:
Sn (0.0000, 0.0000, 0.0000)  4 Cl 3.29, 4 Sb 3.29
Sb (0.7500, 0.7500, 0.7500)  4 Pb 3.29, 4 Sn 3.29
Pb (0.5000, 0.5000, 0.5000)  4 Cl 3.29, 4 Sb 3.29
Cl (0.2500, 0.2500, 0.2500)  4 Sn 3.29, 4 Pb 3.29

***

6.
Below is a relaxed SbTe2PbCl crystal, with properties calculated at the PBE level.

The calculation puts the uncorrected formation energy at 0.675 eV per atom. Its space group is P4/mmm. The crystal system is tetragonal. The value obtained for the volume is 40.7 A^3/atom. The value obtained for the calculated total energy is -2.518 eV/atom. Its energy above the most stable polymorph in this dataset is 218 meV per atom. The theoretical density comes out at 5056 kg/m3. The total moment comes out at 0.4 μB/f.u.

Unit cell a=5.8154 b=5.8154 c=6.0174 alpha=90.00 beta=90.00 gamma=90.00
With the nearest neighbours (Å) after each atom.
Fractional positions:
Sb (0.0000, 0.0000, 0.0000)  2 Pb 3.01
Te (0.0000, 0.5000, 0.5000)  2 Pb 2.91
Te (0.5000, 0.0000, 0.5000)  2 Pb 2.91
Pb (0.0000, 0.0000, 0.5000)  4 Te 2.91, 2 Sb 3.01
Cl (0.5000, 0.5000, 0.0000)  4 Sb 4.11, 8 Te 4.18

***

7.
Below is a relaxed SbTe2PbCl crystal, with properties calculated at the PBE level.

The calculation puts the uncorrected formation energy at 0.456 eV per atom. Its space group is P4/mmm. The crystal system is tetragonal. The value obtained for the volume is 32.7 A^3/atom. The value obtained for the calculated total energy is -2.736 eV/atom. Its energy above the most stable polymorph in this dataset is 0 meV per atom. The theoretical density comes out at 6301 kg/m3. The total moment comes out at 0.0 μB/f.u.

Unit cell a=5.6039 b=5.6039 c=5.1996 alpha=90.00 beta=90.00 gamma=90.00
With the nearest neighbours (Å) after each atom.
Fractional positions:
Sb (0.0000, 0.0000, 0.0000)  2 Cl 2.60
Te (0.0000, 0.5000, 0.5000)  2 Cl 2.80
Te (0.5000, 0.0000, 0.5000)  2 Cl 2.80
Pb (0.5000, 0.5000, 0.0000)  8 Te 3.82, 4 Sb 3.96
Cl (0.0000, 0.0000, 0.5000)  2 Sb 2.60, 4 Te 2.80

***

8.
Below is a relaxed Sb2TePbCl crystal, with properties calculated at the PBE level.

The calculation puts the uncorrected formation energy at 0.756 eV per atom. Its space group is P4/mmm. The crystal system is tetragonal. The value obtained for the volume is 42.5 A^3/atom. The value obtained for the calculated total energy is -2.633 eV/atom. Its energy above the most stable polymorph in this dataset is 187 meV per atom. The theoretical density comes out at 4794 kg/m3. The total moment comes out at 0.8 μB/f.u.

Unit cell a=6.0096 b=6.0096 c=5.8869 alpha=90.00 beta=90.00 gamma=90.00
With the nearest neighbours (Å) after each atom.
Fractional positions:
Sb (0.0000, 0.5000, 0.0000)  2 Pb 3.00
Sb (0.5000, 0.0000, 0.0000)  2 Pb 3.00
Te (0.0000, 0.0000, 0.5000)  2 Pb 2.94
Pb (0.0000, 0.0000, 0.0000)  2 Te 2.94, 4 Sb 3.00
Cl (0.5000, 0.5000, 0.5000)  8 Sb 4.21, 4 Te 4.25

***

9.
Below is a relaxed Sb2TePbCl crystal, with properties calculated at the PBE level.

The calculation puts the uncorrected formation energy at 0.569 eV per atom. Its space group is P4/mmm. The crystal system is tetragonal. The value obtained for the volume is 37.4 A^3/atom. The value obtained for the calculated total energy is -2.819 eV/atom. Its energy above the most stable polymorph in this dataset is 0 meV per atom. The theoretical density comes out at 5449 kg/m3. The total moment comes out at 0.0 μB/f.u.

Unit cell a=5.5881 b=5.5881 c=5.9898 alpha=90.00 beta=90.00 gamma=90.00
With the nearest neighbours (Å) after each atom.
Fractional positions:
Sb (0.0000, 0.5000, 0.0000)  2 Cl 2.79
Sb (0.5000, 0.0000, 0.0000)  2 Cl 2.79
Te (0.0000, 0.0000, 0.5000)  2 Cl 2.99
Pb (0.5000, 0.5000, 0.5000)  4 Te 3.95, 8 Sb 4.10
Cl (0.0000, 0.0000, 0.0000)  4 Sb 2.79, 2 Te 2.99

***

10.
Below is a relaxed TiSbPb2Cl crystal, with properties calculated at the PBE level.

The calculation puts the uncorrected formation energy at 0.541 eV per atom. Its space group is P4/mmm. The crystal system is tetragonal. The value obtained for the volume is 37.2 A^3/atom. The value obtained for the calculated total energy is -3.715 eV/atom. The theoretical density comes out at 5526 kg/m3. The total moment comes out at 0.2 μB/f.u.

Unit cell a=6.0035 b=6.0035 c=5.1649 alpha=90.00 beta=90.00 gamma=90.00
With the nearest neighbours (Å) after each atom.
Fractional positions:
Ti (0.0000, 0.0000, 0.0000)  2 Sb 2.58
Sb (0.0000, 0.0000, 0.5000)  2 Ti 2.58
Pb (0.0000, 0.5000, 0.5000)  2 Sb 3.00
Pb (0.5000, 0.0000, 0.5000)  2 Sb 3.00
Cl (0.5000, 0.5000, 0.0000)  8 Pb 3.96, 4 Ti 4.25

***

11.
Below is a relaxed YSbPbCl2 crystal, with properties calculated at the PBE level.

The calculation puts the uncorrected formation energy at -0.119 eV per atom. Its space group is P4/mmm. The crystal system is tetragonal. The value obtained for the volume is 34.5 A^3/atom. The value obtained for the calculated total energy is -3.716 eV/atom. The theoretical density comes out at 4699 kg/m3. The total moment comes out at 0.0 μB/f.u.

Unit cell a=5.2244 b=5.2244 c=6.3286 alpha=90.00 beta=90.00 gamma=90.00
With the nearest neighbours (Å) after each atom.
Fractional positions:
Y (0.0000, 0.0000, 0.0000)  4 Pb 3.69, 8 Cl 4.10
Sb (0.5000, 0.5000, 0.5000)  4 Cl 2.61
Pb (0.5000, 0.5000, 0.0000)  2 Sb 3.16
Cl (0.0000, 0.5000, 0.5000)  2 Sb 2.61
Cl (0.5000, 0.0000, 0.5000)  2 Sb 2.61

***

12.
Below is a relaxed Sc2PbCl crystal, with properties calculated at the PBE level.

The calculation puts the uncorrected formation energy at -0.567 eV per atom. Its space group is R-3m. The crystal system is trigonal. The value obtained for the volume is 25.4 A^3/atom. The value obtained for the calculated total energy is -5.121 eV/atom. Its energy above the most stable polymorph in this dataset is 230 meV per atom. The theoretical density comes out at 5436 kg/m3. The total moment comes out at 0.0 μB/f.u.

Unit cell a=10.1425 b=10.1425 c=10.1425 alpha=19.49 beta=19.49 gamma=19.49
With the nearest neighbours (Å) after each atom.
Fractional positions:
Sc (0.0815, 0.0815, 0.0815)  1 Cl 2.43
Sc (0.9185, 0.9185, 0.9185)  1 Cl 2.43
Pb (0.5000, 0.5000, 0.5000)  6 Sc 3.22, 6 Pb 3.43
Cl (0.0000, 0.0000, 0.0000)  2 Sc 2.43

***

13.
Below is a relaxed Sc2PbCl crystal, with properties calculated at the PBE level.

The calculation puts the uncorrected formation energy at -0.667 eV per atom. Its space group is Immm. The crystal system is orthorhombic. The value obtained for the volume is 23.4 A^3/atom. The value obtained for the calculated total energy is -5.222 eV/atom. Its energy above the most stable polymorph in this dataset is 129 meV per atom. The theoretical density comes out at 5907 kg/m3. The total moment comes out at 0.0 μB/f.u.

Unit cell a=5.5107 b=5.5107 c=5.5107 alpha=141.74 beta=111.88 gamma=80.92
With the nearest neighbours (Å) after each atom.
Fractional positions:
Sc (0.2061, 0.2061, 0.0000)  2 Cl 2.50
Sc (0.7939, 0.7939, 0.0000)  2 Cl 2.50
Pb (0.5000, 0.0000, 0.5000)  4 Sc 3.06
Cl (0.0000, 0.5000, 0.5000)  4 Sc 2.50

***

14.
Below is a relaxed ScPbCl2 crystal, with properties calculated at the PBE level.

The calculation puts the uncorrected formation energy at -1.118 eV per atom. Its space group is Immm. The crystal system is orthorhombic. The value obtained for the volume is 25.7 A^3/atom. The value obtained for the calculated total energy is -4.551 eV/atom. Its energy above the most stable polymorph in this dataset is 158 meV per atom. The theoretical density comes out at 5214 kg/m3. The total moment comes out at 0.0 μB/f.u.

Unit cell a=6.1577 b=6.1577 c=6.1577 alpha=148.88 beta=120.26 gamma=68.90
With the nearest neighbours (Å) after each atom.
Fractional positions:
Sc (0.0000, 0.0000, 0.0000)  4 Cl 2.55
Pb (0.5000, 0.5000, 0.0000)  2 Pb 3.30, 4 Sc 3.48, 8 Cl 3.54-3.63
Cl (0.1912, 0.6912, 0.5000)  2 Sc 2.55
Cl (0.8088, 0.3088, 0.5000)  2 Sc 2.55